(1)
3
Lattice="-1.4634 1.4634 4.9139 1.4634 -1.4634 4.9139 1.4634 1.4634 -4.9139" Properties=species:S:1:pos:R:3 comment="RePW GGA-PBE relaxed" sg="I4mm, No. 107" e_above_lowest_polymorph_mev_per_atom=0 pbc="T T T"
P 0.0000 0.0000 9.7488
W 0.0000 0.0000 6.4413
Re 0.0000 0.0000 3.4655

---

(2)
19
Lattice="7.9986 -0.0475 -0.0668 -2.0287 7.7372 -0.0668 -2.0287 -2.6132 7.2829" Properties=species:S:1:pos:R:3 comment="CsIn12Pt6 GGA-PBE relaxed" final_energy_ev_per_atom=-4.080 sg="R-3m, No. 166" pbc="T T T"
Pt 0.1571 4.6173 1.8261
Pt -0.4930 3.7799 5.3231
In 1.9706 6.4475 0.7987
Pt 3.7841 0.4593 5.3231
In -1.8166 5.4784 3.5746
In 1.7276 4.9568 4.0874
Pt 3.7841 4.8743 2.1881
In 5.7578 3.5073 0.7987
Cs 0.0000 0.0000 0.0000
In 1.9706 -1.3709 6.3505
In 2.2136 0.1198 3.0619
In 2.2136 2.8513 1.1222
Pt 0.1571 0.2023 4.9612
In -0.4327 2.1742 3.0619
In 4.3739 2.9024 4.0874
In 5.7578 -0.4018 3.5746
In 1.7276 2.2253 6.0270
Pt 4.4342 1.2967 1.8261
In -1.8166 1.5693 6.3505

---

(3)
4
Lattice="0.0000 3.3341 3.3341 3.3341 0.0000 3.3341 3.3341 3.3341 0.0000" Properties=species:S:1:pos:R:3 comment="Na2FeNi GGA-PBE relaxed" sg="Fm-3m, No. 225" e_above_lowest_polymorph_mev_per_atom=112 pbc="T T T"
Na 1.6671 1.6671 1.6671
Fe 0.0000 0.0000 0.0000
Na 5.0012 5.0012 5.0012
Ni 3.3341 3.3341 3.3341

---

(4)
4
Lattice="5.8519 0.0485 0.0000 2.5173 5.2830 0.0000 -4.1846 -2.6658 3.1032" Properties=species:S:1:pos:R:3 comment="CaSb2Pt GGA-PBE relaxed" final_energy_ev_per_atom=-4.383 sg="I4/mmm, No. 139" pbc="T T T"
Sb 0.0000 0.0000 0.0000
Pt 2.9260 0.0243 1.5516
Sb 4.1846 2.6658 0.0000
Ca 1.2587 2.6415 1.5516

---

(5)
5
Lattice="-4.2320 -4.1802 0.0368 4.0266 -4.0622 1.6340 -1.2383 1.3092 6.3059" Properties=species:S:1:pos:R:3 comment="BaBPCl2 GGA-PBE relaxed" sg="P4/mmm, No. 123" e_above_lowest_polymorph_mev_per_atom=1057 pbc="T T T"
P -0.6191 0.6546 3.1530
Ba 0.0000 0.0000 0.0000
B -0.7218 -3.4666 3.9884
Cl -2.1160 -2.0901 0.0184
Cl 2.0133 -2.0311 0.8170

---

(6)
8
Lattice="7.5647 0.0000 0.0000 0.0000 7.5647 0.0000 3.7823 3.7823 2.8972" Properties=species:S:1:pos:R:3 comment="ZrZn2Sn GGA-PBE relaxed" final_energy_ev_per_atom=-3.771 sg="I-42d, No. 122" pbc="T T T"
Zn 1.8092 5.6735 0.7243
Zn 5.6735 5.5916 2.1729
Zr 3.7823 3.7823 0.0000
Sn 7.5647 3.7823 1.4486
Zn 9.4558 9.5378 2.1729
Zr 3.7823 7.5647 1.4486
Zn 5.7555 1.8912 0.7243
Sn 0.0000 0.0000 0.0000

---

(7)
4
Lattice="5.0850 0.0002 0.0000 -2.4537 4.4538 0.0000 -1.3156 -2.2270 4.3780" Properties=species:S:1:pos:R:3 comment="CrSbCl2 GGA-PBE relaxed" sg="I-4m2, No. 119" e_above_lowest_polymorph_mev_per_atom=500 pbc="T T T"
Sb 2.5425 0.0001 2.1890
Cl 0.0000 0.0000 0.0000
Cl -1.2269 2.2269 2.1890
Cr 1.3156 2.2270 0.0000

---

(8)
4
Lattice="3.3033 0.0000 0.0000 0.0000 4.5366 0.0000 0.0000 0.0000 4.5366" Properties=species:S:1:pos:R:3 comment="ZrRuSe2 GGA-PBE relaxed" sg="P4/mmm, No. 123" e_above_lowest_polymorph_mev_per_atom=162 pbc="T T T"
Ru 1.6517 0.0000 2.2683
Se 0.0000 0.0000 0.0000
Zr 1.6517 2.2683 0.0000
Se 0.0000 2.2683 2.2683

---

(9)
10
Lattice="-6.5360 3.6783 -1.9822 -4.1669 -5.4642 3.5998 -5.1316 2.0068 5.4647" Properties=species:S:1:pos:R:3 comment="Rb2TlBBr6 GGA-PBE relaxed" final_energy_ev_per_atom=-2.854 sg="Fm-3m, No. 225" pbc="T T T"
Br -10.5773 -0.1294 4.2773
Rb -8.5095 2.3961 2.1457
Br -7.6478 -1.2761 1.1559
Br -5.2572 0.3504 2.8051
Br -5.8597 1.0687 -0.3889
Rb -7.3249 -2.1751 4.9367
Br -3.0550 -0.5098 0.4617
Tl 0.0000 0.0000 0.0000
Br -4.8431 -2.8545 2.0065
B -5.3514 -0.8929 0.8088

---

(10)
4
Lattice="-1.6765 1.5445 1.8034 -0.0233 -2.2177 1.8787 6.8846 3.1002 3.7449" Properties=species:S:1:pos:R:3 comment="TaAg2Au GGA-PBE relaxed" sg="P4mm, No. 99" e_above_lowest_polymorph_mev_per_atom=0 pbc="T T T"
Ag 0.8685 0.4372 2.7758
Ag 6.8748 3.0958 3.7396
Au 3.4788 1.5666 1.8923
Ta 4.2895 1.9777 4.6367

---

(11)
10
Lattice="7.1274 -0.3937 1.3307 -0.4476 7.0891 -1.3249 4.2516 2.4819 5.3443" Properties=species:S:1:pos:R:3 comment="Ac2MgInAu6 GGA-PBE relaxed" final_energy_ev_per_atom=-3.759 sg="P-1, No. 2" pbc="T T T"
Au 5.7107 4.2623 1.0347
Au 1.5780 5.2749 -0.6120
Au 9.3535 3.9023 5.9621
Au 3.6650 2.8718 2.6216
Ac 3.4310 6.6381 1.7756
Ac 7.5005 2.5391 3.5744
Au 5.2208 4.9149 4.3153
Mg 3.3399 3.3477 0.0029
Au 7.2666 6.3054 2.7284
In 0.0000 0.0000 0.0000